[1]
First-principles (GGA-PBEsol) data for a relaxed structure of Ho2Be2GeO7, as listed in Alexandria.

formation energy without anion corrections	-2.929	eV per atom
spin magnetization	0.00	μB per formula unit
final energy	-7.89	eV per atom
space-group type	P-42_1m

abc: 7.342 7.342 4.755
angles: 90.00 90.00 90.00
Fractional coordinates of all 24 atoms:
Ho 0.158 0.342 0.494
Ho 0.342 0.842 0.506
Ho 0.658 0.158 0.506
Ho 0.842 0.658 0.494
Be 0.136 0.636 0.951
Be 0.364 0.136 0.049
Be 0.636 0.864 0.049
Be 0.864 0.364 0.951
Ge 0.000 0.000 0.000
Ge 0.500 0.500 0.000
O 0.000 0.500 0.810
O 0.082 0.829 0.779
O 0.142 0.642 0.284
O 0.171 0.082 0.221
O 0.329 0.582 0.779
O 0.358 0.142 0.716
O 0.418 0.329 0.221
O 0.500 0.000 0.190
O 0.582 0.671 0.221
O 0.642 0.858 0.716
O 0.671 0.418 0.779
O 0.829 0.918 0.221
O 0.858 0.358 0.284
O 0.918 0.171 0.779



[2]
First-principles (GGA-PBEsol) data for a relaxed structure of BeGeI2, as listed in Alexandria.

formation energy without anion corrections	0.633	eV per atom
spin magnetization	0.00	μB per formula unit
final energy	-2.49	eV per atom
distance to the lowest polymorph of the same formula	0.220	eV/atom
space-group type	Fm-3m

abc: 5.106 5.106 5.106
angles: 60.00 60.00 60.00
Fractional coordinates of all 4 atoms:
Be 0.000 0.000 0.000
Ge 0.500 0.500 0.500
I 0.250 0.250 0.250
I 0.750 0.750 0.750



[3]
First-principles (GGA-PBEsol) data for a relaxed structure of BeGe3I, as listed in Alexandria.

formation energy without anion corrections	0.494	eV per atom
spin magnetization	0.00	μB per formula unit
final energy	-3.62	eV per atom
space-group type	Pm-3m

abc: 4.649 4.649 4.649
angles: 90.00 90.00 90.00
Fractional coordinates of all 5 atoms:
Be 0.000 0.000 0.000
Ge 0.000 0.000 0.500
Ge 0.000 0.500 0.000
Ge 0.500 0.000 0.000
I 0.500 0.500 0.500



spin magnetization of number 3 (BeGe3I)? 0.00 μB per formula unit